Compound: Ca3Ac3Hg4
Source: Alexandria via LeMat-Bulk
Functional: PBE
Structure: optimized geometry

```
Ca3Ac3Hg4
1.0
4.177 0.000 0.000
0.000 6.356 6.382
0.000 -6.356 6.382
Ca Ac Hg
3 3 4
Cartesian
0.000 0.000 0.000
2.089 -3.212 7.432
2.089 3.212 7.432
0.000 -2.067 4.230
0.000 2.067 4.230
0.000 0.000 8.694
2.089 0.000 2.451
2.089 0.000 6.045
2.089 -1.680 10.803
2.089 1.680 10.803
```

Calculated values
- Formation energy: -420 meV/atom
- N(E_F): 11.39 states/eV/cell
- Uncorrected energy: -23.742 eV for the cell shown